# Na2HPdAu (PBE, relaxed)
# excess energy over the best structure of this formula in the dataset	176	meV per atom
data_Na2HPdAu
_symmetry_space_group_name_H-M 'P 4/m m m'
_symmetry_Int_Tables_number 123
_symmetry_space_group_name_Hall '-P 4 2'
_cell_length_a 4.496
_cell_length_b 4.496
_cell_length_c 3.925
_cell_angle_alpha 90.00
_cell_angle_beta 90.00
_cell_angle_gamma 90.00
loop_
_atom_site_label
_atom_site_type_symbol
_atom_site_fract_x
_atom_site_fract_y
_atom_site_fract_z
Na1 Na 0.000 0.500 0.000
H1 H 0.000 0.000 0.000
Pd1 Pd 0.500 0.500 0.500
Au1 Au 0.000 0.000 0.500


# Ac2Ag (PBE, relaxed)
# energy of formation	0.04	eV per atom
# excess energy over the best structure of this formula in the dataset	201	meV per atom
data_Ac2Ag
_symmetry_space_group_name_H-M 'F d d d'
_symmetry_Int_Tables_number 70
_cell_length_a 9.002
_cell_length_b 9.015
_cell_length_c 11.918
_cell_angle_alpha 90.00
_cell_angle_beta 90.00
_cell_angle_gamma 90.00
loop_
_symmetry_equiv_pos_as_xyz
'x,y,z'
'-x,-y,-z'
'-x+1/4,-y+1/4,z'
'x+1/4,y+1/4,-z'
'x,-y+1/4,-z+1/4'
'-x,y+1/4,z+1/4'
'-x+1/4,y,-z+1/4'
'x+1/4,-y,z+1/4'
'x,y+1/2,z+1/2'
'-x,-y+1/2,-z+1/2'
'-x+1/4,-y+3/4,z+1/2'
'x+1/4,y+3/4,-z+1/2'
'x,-y+3/4,-z+3/4'
'-x,y+3/4,z+3/4'
'-x+1/4,y+1/2,-z+3/4'
'x+1/4,-y+1/2,z+3/4'
'x+1/2,y,z+1/2'
'-x+1/2,-y,-z+1/2'
'-x+3/4,-y+1/4,z+1/2'
'x+3/4,y+1/4,-z+1/2'
'x+1/2,-y+1/4,-z+3/4'
'-x+1/2,y+1/4,z+3/4'
'-x+3/4,y,-z+3/4'
'x+3/4,-y,z+3/4'
'x+1/2,y+1/2,z'
'-x+1/2,-y+1/2,-z'
'-x+3/4,-y+3/4,z'
'x+3/4,y+3/4,-z'
'x+1/2,-y+3/4,-z+1/4'
'-x+1/2,y+3/4,z+1/4'
'-x+3/4,y+1/2,-z+1/4'
'x+3/4,-y+1/2,z+1/4'
loop_
_atom_site_label
_atom_site_type_symbol
_atom_site_fract_x
_atom_site_fract_y
_atom_site_fract_z
Ac1 Ac 0.125 0.125 0.354
Ag1 Ag 0.125 0.125 0.625